Entry 1:
A plane-wave DFT calculation with GGA-PBE was carried out for a relaxed structure of Ac3Si2PdPt9.

abc: 5.8636 5.8636 10.9265
angles: 90.00 90.00 120.00
Fractional positions:
Ac 0.3333 0.6667 0.5939
Ac 0.0000 0.0000 0.0000
Ac 0.6667 0.3333 0.4061
Si 0.3333 0.6667 0.1602
Si 0.6667 0.3333 0.8398
Pd 0.0000 0.0000 0.5000
Pt 0.8405 0.1595 0.6984
Pt 0.8405 0.6809 0.6984
Pt 0.3191 0.1595 0.6984
Pt 0.6809 0.8405 0.3016
Pt 0.1595 0.3191 0.3016
Pt 0.1595 0.8405 0.3016
Pt 0.5000 0.0000 0.0000
Pt 0.0000 0.5000 0.0000
Pt 0.5000 0.5000 0.0000

Properties
Space group: P-3m1

Entry 2:
A plane-wave DFT calculation with GGA-PBE was carried out for a relaxed structure of AcSiPdPt.

abc: 4.2610 4.2610 9.7931
angles: 90.00 90.00 90.00
Fractional positions:
Ac 0.0000 0.5000 0.7914
Ac 0.5000 0.0000 0.2086
Si 0.0000 0.5000 0.3735
Si 0.5000 0.0000 0.6265
Pd 0.0000 0.0000 0.5000
Pd 0.5000 0.5000 0.5000
Pt 0.5000 0.0000 0.8723
Pt 0.0000 0.5000 0.1277

Properties
Space group: P4/nmm

Entry 3:
A plane-wave DFT calculation with GGA-PBE was carried out for a relaxed structure of AcSi2PdPt5.

abc: 4.1775 4.1775 10.3987
angles: 90.00 90.00 90.00
Fractional positions:
Ac 0.0000 0.0000 0.5000
Si 0.5000 0.5000 0.2719
Si 0.5000 0.5000 0.7281
Pd 0.0000 0.0000 0.0000
Pt 0.0000 0.5000 0.1665
Pt 0.5000 0.0000 0.1665
Pt 0.0000 0.5000 0.8335
Pt 0.5000 0.0000 0.8335
Pt 0.5000 0.5000 0.5000

Properties
Space group: P4/mmm

Entry 4:
A plane-wave DFT calculation with GGA-PBE was carried out for a relaxed structure of Ac2Si3Pd12Pt.

abc: 7.7449 7.7449 7.7449
angles: 65.86 65.86 65.86
Fractional positions:
Ac 0.6137 0.6137 0.6137
Ac 0.3863 0.3863 0.3863
Si 0.5000 0.0000 0.0000
Si 0.0000 0.5000 0.0000
Si 0.0000 0.0000 0.5000
Pd 0.3450 0.3450 0.9010
Pd 0.8705 0.8705 0.3786
Pd 0.3786 0.8705 0.8705
Pd 0.9010 0.3450 0.3450
Pd 0.8705 0.3786 0.8705
Pd 0.3450 0.9010 0.3450
Pd 0.6550 0.6550 0.0990
Pd 0.1295 0.1295 0.6214
Pd 0.6214 0.1295 0.1295
Pd 0.0990 0.6550 0.6550
Pd 0.1295 0.6214 0.1295
Pd 0.6550 0.0990 0.6550
Pt 0.0000 0.0000 0.0000

Properties
Space group: R-3m

| no. | ΔE_f (raw) (eV per atom) |
| --- | --- |
| 1 | -0.812 |
| 2 | -0.926 |
| 3 | -0.605 |
| 4 | -0.332 |